(1)
The following is a PBE-GGA calculation of an optimized crystal structure of SrAl2P, from the Alexandria database.

Symmetry: No. 12
DOS at the Fermi energy, states/eV/f.u.: 1.35
E, eV/atom: -3.8704
Total magnetization, μB per formula unit: 0.00

abc: 6.0822 6.0822 5.1766
angles: 60.85 60.85 33.09
Fractional positions:
Sr 0.2500 0.2500 0.2500
Al 0.0556 0.0556 0.9773
Al 0.4444 0.4444 0.5227
P 0.7500 0.7500 0.7500

=====

(2)
The following is a PBE-GGA calculation of an optimized crystal structure of SrAl2P, from the Alexandria database.

Symmetry: No. 8
DOS at the Fermi energy, states/eV/f.u.: 1.55
E, eV/atom: -3.9693
Total magnetization, μB per formula unit: 0.00

abc: 4.7172 4.7172 5.9088
angles: 74.92 74.92 47.33
Fractional positions:
Sr 0.2391 0.2391 0.2583
Al 0.0179 0.0179 0.8861
Al 0.7527 0.7527 0.7523
P 0.4904 0.4904 0.6033

=====

(3)
The following is a PBE-GGA calculation of an optimized crystal structure of SrAlP3, from the Alexandria database.

Symmetry: No. 221
DOS at the Fermi energy, states/eV/f.u.: 4.33
Excess energy over the best structure of this formula in the dataset, meV/atom: 0
Total magnetization, μB per formula unit: 0.00

abc: 4.7751 4.7751 4.7751
angles: 90.00 90.00 90.00
Fractional positions:
Sr 0.5000 0.5000 0.5000
Al 0.0000 0.0000 0.0000
P 0.0000 0.5000 0.0000
P 0.0000 0.0000 0.5000
P 0.5000 0.0000 0.0000

=====

(4)
The following is a PBE-GGA calculation of an optimized crystal structure of SrAl2P2, from the Alexandria database.

Symmetry: No. 164
DOS at the Fermi energy, states/eV/f.u.: 1.38
E, eV/atom: -4.5625
Total magnetization, μB per formula unit: 0.00

abc: 4.2981 4.2981 6.6766
angles: 90.00 90.00 120.00
Fractional positions:
Sr 0.0000 0.0000 0.0000
Al 0.6667 0.3333 0.6427
Al 0.3333 0.6667 0.3573
P 0.6667 0.3333 0.2859
P 0.3333 0.6667 0.7141

=====

(5)
The following is a PBE-GGA calculation of an optimized crystal structure of SrAl2P, from the Alexandria database.

Symmetry: No. 44
DOS at the Fermi energy, states/eV/f.u.: 1.45
E, eV/atom: -3.8613
Total magnetization, μB per formula unit: 0.00

abc: 6.6449 6.6449 6.6449
angles: 147.92 142.40 50.24
Fractional positions:
Sr 0.6952 0.1952 0.5000
Al 0.9798 0.9798 0.0000
Al 0.3423 0.8423 0.5000
P 0.4827 0.4827 0.0000

=====

(6)
The following is a PBE-GGA calculation of an optimized crystal structure of SrAl2P, from the Alexandria database.

Symmetry: No. 166
DOS at the Fermi energy, states/eV/f.u.: 1.78
E, eV/atom: -3.7329
Total magnetization, μB per formula unit: 0.00

abc: 8.3114 8.3114 8.3114
angles: 26.25 26.25 26.25
Fractional positions:
Sr 0.7500 0.7500 0.7500
Al 0.9738 0.9738 0.9738
Al 0.5262 0.5262 0.5262
P 0.2500 0.2500 0.2500

=====

(7)
The following is a PBE-GGA calculation of an optimized crystal structure of Sr4Th3AlP8, from the Alexandria database.

Symmetry: No. 12
DOS at the Fermi energy, states/eV/f.u.: 15.05
E, eV/atom: -5.8344
Total magnetization, μB per formula unit: 0.00

abc: 8.3484 8.5301 8.3589
angles: 119.36 119.96 90.00
Fractional positions:
Sr 0.5000 0.0000 0.0000
Sr 0.5000 0.0000 0.5000
Sr 0.0000 0.0000 0.0000
Sr 0.0000 0.0000 0.5000
Th 0.5000 0.5000 0.0000
Th 0.5000 0.5000 0.5000
Th 0.0000 0.5000 0.5000
Al 0.0000 0.5000 0.0000
P 0.2312 0.7169 0.9856
P 0.2331 0.7185 0.4662
P 0.2577 0.2729 0.5154
P 0.7544 0.7169 0.9856
P 0.2456 0.2831 0.0144
P 0.7423 0.7271 0.4846
P 0.7669 0.2815 0.5338
P 0.7688 0.2831 0.0144

=====

(8)
The following is a PBE-GGA calculation of an optimized crystal structure of SrTiAlP2, from the Alexandria database.

Symmetry: No. 123
DOS at the Fermi energy, states/eV/f.u.: 5.21
E, eV/atom: -4.5310
Total magnetization, μB per formula unit: 1.10

abc: 4.7592 5.7848 4.7592
angles: 90.00 90.00 90.00
Last column: magnetic moment on the atom in μB.
Fractional positions:
Sr 0.0000 0.5000 0.0000  0.13
Al 0.5000 0.5000 0.5000  0.00
P 0.0000 0.0000 0.5000  -0.06
P 0.5000 0.0000 0.0000  -0.06
Ti 0.0000 0.0000 0.0000  0.83

=====

(9)
The following is a PBE-GGA calculation of an optimized crystal structure of Ta2AlP, from the Alexandria database.

Symmetry: No. 12
DOS at the Fermi energy, states/eV/f.u.: 1.44
Excess energy over the best structure of this formula in the dataset, meV/atom: 172
Total magnetization, μB per formula unit: 0.00

abc: 4.8121 4.8121 3.0084
angles: 80.21 80.21 105.05
Fractional positions:
P 0.0000 0.5000 0.5000
Al 0.5000 0.0000 0.5000
Ta 0.0000 0.0000 0.0000
Ta 0.5000 0.5000 0.0000

=====

(10)
The following is a PBE-GGA calculation of an optimized crystal structure of TaAlP, from the Alexandria database.

Symmetry: No. 107
DOS at the Fermi energy, states/eV/f.u.: 0.56
E, eV/atom: -7.4916
Total magnetization, μB per formula unit: 0.00

abc: 4.9427 4.9427 4.9427
angles: 141.81 141.81 55.11
Fractional positions:
P 0.3234 0.3234 0.0000
Al 0.9938 0.9938 0.0000
Ta 0.6828 0.6828 0.0000

=====

(11)
The following is a PBE-GGA calculation of an optimized crystal structure of Ta2AlP, from the Alexandria database.

Symmetry: No. 47
DOS at the Fermi energy, states/eV/f.u.: 1.84
Excess energy over the best structure of this formula in the dataset, meV/atom: 177
Total magnetization, μB per formula unit: 0.00

abc: 3.4951 4.6471 3.9552
angles: 90.00 90.00 90.00
Fractional positions:
P 0.0000 0.5000 0.5000
Al 0.5000 0.0000 0.5000
Ta 0.0000 0.0000 0.0000
Ta 0.5000 0.5000 0.0000

=====

(12)
The following is a PBE-GGA calculation of an optimized crystal structure of TaAlP, from the Alexandria database.

Symmetry: No. 216
DOS at the Fermi energy, states/eV/f.u.: 3.46
E, eV/atom: -6.5645
Total magnetization, μB per formula unit: 0.00

abc: 4.3010 4.3010 4.3010
angles: 60.00 60.00 60.00
Fractional positions:
P 0.5000 0.5000 0.5000
Al 0.0000 0.0000 0.0000
Ta 0.7500 0.7500 0.7500